# 1
NbHg2Rh: single point on PBEsol structure, SCAN.

Geometry as POSCAR:
```
NbHg2Rh
1.0
6.5137 0.0000 0.0000
0.0000 6.5137 0.0000
0.0000 0.0000 6.5137
Nb Hg Rh
4 8 4
direct
0.0000 0.0000 0.0000
0.0000 0.5000 0.5000
0.5000 0.0000 0.5000
0.5000 0.5000 0.0000
0.2500 0.2500 0.2500
0.2500 0.2500 0.7500
0.2500 0.7500 0.2500
0.2500 0.7500 0.7500
0.7500 0.2500 0.2500
0.7500 0.2500 0.7500
0.7500 0.7500 0.2500
0.7500 0.7500 0.7500
0.0000 0.0000 0.5000
0.0000 0.5000 0.0000
0.5000 0.0000 0.0000
0.5000 0.5000 0.5000
```

The final energy comes out at -1.86007 hartree per atom.



# 2
AlCuSe: single point on PBEsol structure, SCAN.

Geometry as POSCAR:
```
AlCuSe
1.0
6.1141 0.0000 0.0000
0.0000 6.1141 0.0000
0.0000 0.0000 6.1141
Al Cu Se
4 4 4
direct
0.0000 0.0000 0.0000
0.0000 0.5000 0.5000
0.5000 0.0000 0.5000
0.5000 0.5000 0.0000
0.0000 0.0000 0.5000
0.0000 0.5000 0.0000
0.5000 0.0000 0.0000
0.5000 0.5000 0.5000
0.2500 0.2500 0.2500
0.2500 0.7500 0.7500
0.7500 0.2500 0.7500
0.7500 0.7500 0.2500
```

The energy above the lowest structure with this stoichiometry comes out at 195 meV per atom. The value obtained for the raw formation energy is 0.30 eV/atom.



# 3
LaTlIn2: single point on PBEsol structure, SCAN.

Geometry as POSCAR:
```
LaTlIn2
1.0
4.6914 0.0000 0.0000
0.0000 4.6920 0.0000
0.0000 0.0000 9.7490
La Tl In
2 2 4
direct
0.0000 0.0000 0.0000
0.5000 0.5000 0.5000
0.0000 0.5000 0.7502
0.5000 0.0000 0.2502
0.0000 0.0000 0.5008
0.0000 0.5000 0.2502
0.5000 0.0000 0.7502
0.5000 0.5000 0.0008
```

The final energy comes out at -1.69017 hartree per atom.



# 4
Ga2NiCl8: single point on PBEsol structure, SCAN.

Geometry as POSCAR:
```
Ga2NiCl8
1.0
8.4970 -3.9099 0.0000
8.4970 3.9099 0.0000
-7.4940 0.0000 8.7008
Ga Ni Cl
4 2 16
direct
0.1625 0.6732 0.9672
0.3268 0.8375 0.5328
0.6732 0.1625 0.4672
0.8375 0.3268 0.0328
0.0020 0.9980 0.2500
0.9980 0.0020 0.7500
0.1357 0.1603 0.0116
0.1402 0.7129 0.3031
0.1420 0.6923 0.7752
0.1603 0.1357 0.5116
0.2871 0.8598 0.1969
0.3077 0.8580 0.7248
0.3199 0.3657 0.9411
0.3657 0.3199 0.4411
0.6343 0.6801 0.5589
0.6801 0.6343 0.0589
0.6923 0.1420 0.2752
0.7129 0.1402 0.8031
0.8397 0.8643 0.4884
0.8580 0.3077 0.2248
0.8598 0.2871 0.6969
0.8643 0.8397 0.9884
```

The value obtained for the raw formation energy is -1.17 eV/atom.



# 5
MnTcRh2: single point on PBEsol structure, SCAN.

Geometry as POSCAR:
```
MnTcRh2
1.0
2.6427 0.0000 0.0000
0.0000 2.6427 0.0000
0.0000 0.0000 7.4487
Mn Tc Rh
1 1 2
direct
0.0000 0.0000 0.0000
0.0000 0.0000 0.5000
0.5000 0.5000 0.2428
0.5000 0.5000 0.7572
```

The energy above the lowest structure with this stoichiometry comes out at 25 meV per atom.



# 6
SrOs2Br: single point on PBEsol structure, SCAN.

Geometry as POSCAR:
```
SrOs2Br
1.0
5.4380 0.0000 0.0000
0.0000 11.2260 0.0000
-1.6971 0.0000 2.5343
Sr Os Br
2 4 2
direct
0.0000 0.0000 0.0000
0.5000 0.5000 0.0000
0.2500 0.2500 0.0000
0.2500 0.7500 0.0000
0.7500 0.2500 0.0000
0.7500 0.7500 0.0000
0.0000 0.5000 0.0000
0.5000 0.0000 0.0000
```

The energy above the lowest structure with this stoichiometry comes out at 0 meV per atom. The value obtained for the raw formation energy is 0.82 eV/atom.



no.,density of states at the Fermi level (states/eV per cell)
1,6.84
2,4.41
3,4.99
4,0.00
5,3.64
6,6.63